This record from the Alexandria database describes a geometry-optimized IrPdPt2N structure. The functional is PBE-GGA.

a = 4.8607 Å, b = 4.6648 Å, c = 4.8607 Å
α = 90.00°, β = 90.00°, γ = 90.00°
Each line ends with the local moment (μB).
Fractional coordinates of all 5 atoms:
Ir 0.0000 0.5000 0.0000  0.78
Pd 0.0000 0.0000 0.0000  0.18
Pt 0.0000 0.0000 0.5000  0.09
Pt 0.5000 0.0000 0.0000  0.08
N 0.5000 0.5000 0.5000  -0.08

Calculated values
- Total magnetic moment: 1.045 μB per cell
- E: -3.947 eV/atom
- Symmetry: P4/mmm, No. 123
- Formation energy without anion corrections: 2.945 eV/atom

***

This record from the Alexandria database describes a geometry-optimized IrPdS2N structure. The functional is PBE-GGA.

a = 4.7989 Å, b = 4.7989 Å, c = 3.5990 Å
α = 90.00°, β = 90.00°, γ = 90.00°
Fractional coordinates of all 5 atoms:
S 0.0000 0.5000 0.0000
S 0.5000 0.0000 0.0000
Ir 0.5000 0.5000 0.5000
Pd 0.0000 0.0000 0.0000
N 0.0000 0.0000 0.5000

Calculated values
- Total magnetic moment: 0.000 μB per cell
- E: -4.687 eV/atom
- Symmetry: P4/mmm, No. 123
- Formation energy without anion corrections: 1.440 eV/atom
- Energy above the most stable polymorph in this dataset: 780.8 meV/atom

***

This record from the Alexandria database describes a geometry-optimized IrPdSN2 structure. The functional is PBE-GGA.

a = 3.7152 Å, b = 3.7152 Å, c = 5.4471 Å
α = 90.00°, β = 90.00°, γ = 90.00°
Each line ends with the local moment (μB).
Fractional coordinates of all 5 atoms:
S 0.0000 0.0000 0.5000  0.00
Ir 0.0000 0.0000 0.0000  -0.02
Pd 0.5000 0.5000 0.5000  0.01
N 0.0000 0.5000 0.0000  0.12
N 0.5000 0.0000 0.0000  0.12

Calculated values
- Total magnetic moment: 0.311 μB per cell
- E: -6.092 eV/atom
- Symmetry: P4/mmm, No. 123
- Formation energy without anion corrections: 0.875 eV/atom
- Energy above the most stable polymorph in this dataset: 0.0 meV/atom